# 1
Here is a geometry-optimized NpMnAs2 structure from the Alexandria database. Energies are from PBE-GGA.

a = 3.888 Å, b = 3.888 Å, c = 6.783 Å
α = 73.35°, β = 73.35°, γ = 60.00°
Last column: magnetic moment on the atom in μB.
Element x y z (fractional)
1 As 0.242 0.242 0.274  -0.12
2 As 0.093 0.093 0.722  -0.10
3 Mn 0.496 0.496 0.513  3.60
4 Np 0.670 0.670 0.991  3.71

Total DFT energy (no corrections) = -8.13 eV per atom
Formation enthalpy at 0 K = -278 meV/atom

=====

# 2
Here is a geometry-optimized Np2MnAs4 structure from the Alexandria database. Energies are from PBE-GGA.

a = 4.051 Å, b = 4.051 Å, c = 8.755 Å
α = 90.00°, β = 90.00°, γ = 90.00°
Last column: magnetic moment on the atom in μB.
Element x y z (fractional)
1 Np 0.500 0.000 0.759  3.48
2 Np 0.000 0.500 0.241  3.48
3 As 0.000 0.000 0.500  -0.06
4 As 0.500 0.500 0.500  -0.04
5 As 0.000 0.500 0.859  -0.05
6 As 0.500 0.000 0.141  -0.05
7 Mn 0.500 0.500 0.000  -2.25

Total DFT energy (no corrections) = -8.07 eV per atom
Formation enthalpy at 0 K = -402 meV/atom

=====

# 3
Here is a geometry-optimized NpMnAs3 structure from the Alexandria database. Energies are from PBE-GGA.

a = 5.508 Å, b = 5.668 Å, c = 12.022 Å
α = 90.00°, β = 90.00°, γ = 90.00°
Last column: magnetic moment on the atom in μB.
Element x y z (fractional)
1 As 0.250 0.107 0.929  -0.11
2 As 0.000 0.250 0.497  -0.05
3 As 0.500 0.750 0.503  -0.05
4 As 0.500 0.250 0.497  -0.05
5 As 0.250 0.018 0.228  -0.09
6 As 0.750 0.482 0.228  -0.09
7 As 0.750 0.893 0.071  -0.11
8 As 0.250 0.518 0.772  -0.09
9 As 0.000 0.750 0.503  -0.05
10 As 0.750 0.982 0.772  -0.09
11 As 0.250 0.607 0.071  -0.11
12 As 0.750 0.393 0.929  -0.11
13 Np 0.250 0.012 0.689  3.66
14 Np 0.250 0.512 0.311  3.66
15 Np 0.750 0.488 0.689  3.66
16 Np 0.750 0.988 0.311  3.66
17 Mn 0.000 0.250 0.085  2.46
18 Mn 0.000 0.750 0.915  2.46
19 Mn 0.500 0.250 0.085  2.46
20 Mn 0.500 0.750 0.915  2.46

Total DFT energy (no corrections) = -7.64 eV per atom
Formation enthalpy at 0 K = -433 meV/atom

=====

# 4
Here is a geometry-optimized NpMn3As3 structure from the Alexandria database. Energies are from PBE-GGA.

a = 6.580 Å, b = 6.580 Å, c = 6.580 Å
α = 90.00°, β = 90.00°, γ = 90.00°
Last column: magnetic moment on the atom in μB.
Element x y z (fractional)
1 As 0.500 0.000 0.250  -0.11
2 As 0.000 0.250 0.500  -0.11
3 As 0.750 0.500 0.000  -0.11
4 As 0.500 0.000 0.750  -0.11
5 As 0.000 0.750 0.500  -0.11
6 As 0.250 0.500 0.000  -0.11
7 Mn 0.500 0.750 0.000  2.44
8 Mn 0.250 0.000 0.500  2.44
9 Mn 0.750 0.000 0.500  2.44
10 Mn 0.000 0.500 0.750  2.44
11 Mn 0.000 0.500 0.250  2.44
12 Mn 0.500 0.250 0.000  2.44
13 Np 0.500 0.500 0.500  4.30
14 Np 0.000 0.000 0.000  4.30

Total DFT energy (no corrections) = -7.56 eV per atom
Formation enthalpy at 0 K = 210 meV/atom

=====

# 5
Here is a geometry-optimized NpMnAs2 structure from the Alexandria database. Energies are from PBE-GGA.

a = 3.986 Å, b = 3.986 Å, c = 6.266 Å
α = 71.46°, β = 71.46°, γ = 60.00°
Last column: magnetic moment on the atom in μB.
Element x y z (fractional)
1 As 0.738 0.738 0.785  -0.12
2 As 0.262 0.262 0.215  -0.12
3 Np 0.500 0.500 0.500  3.64
4 Mn 0.000 0.000 0.000  3.28

Total DFT energy (no corrections) = -8.21 eV per atom
Formation enthalpy at 0 K = -355 meV/atom